AlInP2Cl after structural relaxation, computed with PBE-GGA.

## Properties
- excess energy over the best structure of this formula in the dataset (meV per atom) = 0
- formation energy from raw total energies (meV per atom) = 127

Unit cell a=4.755 b=4.755 c=4.865 alpha=90.00 beta=90.00 gamma=90.00
Fractional positions:
Al: 0.000 0.000 0.000
In: 0.500 0.500 0.500
P: 0.000 0.500 0.000
P: 0.500 0.000 0.000
Cl: 0.000 0.000 0.500



Cs2TlHg2F6 after structural relaxation, computed with PBE-GGA.

## Properties
- formation energy from raw total energies (meV per atom) = -1857

Unit cell a=6.574 b=6.574 c=7.853 alpha=113.83 beta=113.83 gamma=64.52
Fractional positions:
Cs: 0.212 0.212 0.157
Cs: 0.788 0.788 0.843
Tl: 0.000 0.000 0.500
Hg: 0.432 0.432 0.811
Hg: 0.568 0.568 0.189
F: 0.177 0.716 0.246
F: 0.236 0.236 0.542
F: 0.284 0.823 0.754
F: 0.716 0.177 0.246
F: 0.764 0.764 0.458
F: 0.823 0.284 0.754



Ca2BeCo after structural relaxation, computed with PBE-GGA.

## Properties
- calculated formation energy (eV per formula unit) = 1.84

Unit cell a=3.501 b=3.512 c=6.811 alpha=90.00 beta=90.17 gamma=90.00
Fractional positions:
Ca: 0.001 0.000 0.257
Ca: 0.999 0.000 0.743
Be: 0.500 0.500 0.000
Co: 0.500 0.500 0.500



CeSe2Cl4 after structural relaxation, computed with PBE-GGA.

## Properties
- formation energy from raw total energies (meV per atom) = -1305

Unit cell a=9.149 b=9.149 c=7.220 alpha=93.92 beta=93.92 gamma=25.81
Fractional positions:
Ce: 0.000 0.000 0.000
Se: 0.257 0.257 0.417
Se: 0.743 0.743 0.583
Cl: 0.137 0.137 0.920
Cl: 0.469 0.469 0.753
Cl: 0.531 0.531 0.247
Cl: 0.863 0.863 0.080



ScNb3Si after structural relaxation, computed with PBE-GGA.

## Properties
- excess energy over the best structure of this formula in the dataset (meV per atom) = 0
- formation energy from raw total energies (meV per atom) = 423

Unit cell a=4.736 b=4.736 c=4.736 alpha=90.00 beta=90.00 gamma=90.00
Fractional positions:
Sc: 0.000 0.000 0.000
Nb: 0.000 0.500 0.500
Nb: 0.500 0.000 0.500
Nb: 0.500 0.500 0.000
Si: 0.500 0.500 0.500



Nd2Tm4Mg after structural relaxation, computed with PBE-GGA.

## Properties
- calculated formation energy (eV per formula unit) = 2.36

Unit cell a=6.691 b=6.691 c=6.691 alpha=104.14 beta=104.14 gamma=120.75
Fractional positions:
Nd: 0.250 0.750 0.500
Nd: 0.750 0.250 0.500
Tm: 0.132 0.730 0.000
Tm: 0.270 0.270 0.402
Tm: 0.730 0.132 0.000
Tm: 0.868 0.868 0.598
Mg: 0.500 0.500 0.000



Theoretical density values (in g cm⁻³) by entry order: 3.6; 6.1; 2.9; 2.8; 5.5; 7.3.